No. 1
Compound: ThZnCdIr
Source: the Alexandria database
Functional: PBE-GGA
Structure: relaxed

Output
Energy relative to the elements, eV/atom: -0.303
Calculated total energy, eV per formula unit: -19.683
Volume, Å³/f.u.: 84

The structure in CIF format:
```
data_ThZnCdIr
_cell_length_a 6.940
_cell_length_b 6.940
_cell_length_c 6.940
_cell_angle_alpha 90.00
_cell_angle_beta 90.00
_cell_angle_gamma 90.00
_symmetry_space_group_name_H-M 'F -4 3 m'
_symmetry_Int_Tables_number 216
_symmetry_space_group_name_Hall 'F -4 2 3'
loop_
_atom_site_label
_atom_site_fract_x
_atom_site_fract_y
_atom_site_fract_z
Th1 0.000 0.000 0.000
Zn1 0.250 0.250 0.750
Cd1 0.000 0.000 0.500
Ir1 0.250 0.250 0.250
```

No. 2
Compound: Na2MgSiS4
Source: the Alexandria database
Functional: PBE-GGA
Structure: relaxed

Output
Calculated total energy, eV per formula unit: -34.848
Volume, Å³/f.u.: 194
Uncorrected formation energy, eV per atom: -1.085

The structure in CIF format:
```
data_Na2MgSiS4
_cell_length_a 7.650
_cell_length_b 7.699
_cell_length_c 6.592
_cell_angle_alpha 90.00
_cell_angle_beta 90.00
_cell_angle_gamma 90.00
_symmetry_space_group_name_H-M 'P m n 21'
_symmetry_Int_Tables_number 31
_symmetry_space_group_name_Hall 'P 2ac -2'
loop_
_atom_site_label
_atom_site_fract_x
_atom_site_fract_y
_atom_site_fract_z
Na1 0.242 0.165 0.000
Mg1 0.000 0.369 0.497
Si1 0.000 0.662 0.992
S1 0.000 0.410 0.123
S2 0.000 0.647 0.669
S3 0.230 0.808 0.079
```

No. 3
Compound: MgCoSn2Ir
Source: the Alexandria database
Functional: PBE-GGA
Structure: relaxed

Output
Energy relative to the elements, eV/atom: 0.473
Calculated total energy, eV per formula unit: -23.200
Volume, Å³/f.u.: 102

The structure in CIF format:
```
data_MgCoSn2Ir
_cell_length_a 4.725
_cell_length_b 4.725
_cell_length_c 4.575
_cell_angle_alpha 90.00
_cell_angle_beta 90.00
_cell_angle_gamma 90.00
_symmetry_space_group_name_H-M 'P 4/m m m'
_symmetry_Int_Tables_number 123
_symmetry_space_group_name_Hall '-P 4 2'
loop_
_atom_site_label
_atom_site_fract_x
_atom_site_fract_y
_atom_site_fract_z
Mg1 0.000 0.000 0.000
Co1 0.000 0.000 0.500
Sn1 0.000 0.500 0.500
Ir1 0.500 0.500 0.000
```

No. 4
Compound: LiTm3Np3N8
Source: the Alexandria database
Functional: PBE-GGA
Structure: relaxed

Output
Calculated total energy, eV per formula unit: -137.174
Volume, Å³/f.u.: 211
Uncorrected formation energy, eV per atom: -1.095

The structure in CIF format:
```
data_LiTm3Np3N8
_cell_length_a 6.6693
_cell_length_b 6.6693
_cell_length_c 16.4493
_cell_angle_alpha 90.00
_cell_angle_beta 90.00
_cell_angle_gamma 120.00
_symmetry_space_group_name_H-M 'R -3 m'
_symmetry_Int_Tables_number 166
_symmetry_space_group_name_Hall '-R 3 2"'
loop_
_atom_site_label
_atom_site_fract_x
_atom_site_fract_y
_atom_site_fract_z
Li1 0.0000 0.0000 0.0000
Tm1 0.0000 0.5000 0.5000
Np1 0.0000 0.5000 0.0000
N1 0.0000 0.0000 0.2458
N2 0.0066 0.5033 0.2602
```

No. 5
Compound: Ac5Au3
Source: the Alexandria database
Functional: PBE-GGA
Structure: relaxed

Output
Energy relative to the elements, eV/atom: -0.550
Calculated total energy, eV per formula unit: -34.775
Volume, Å³/f.u.: 272

The structure in CIF format:
```
data_Ac5Au3
_cell_length_a 11.338
_cell_length_b 11.338
_cell_length_c 10.169
_cell_angle_alpha 90.00
_cell_angle_beta 123.80
_cell_angle_gamma 90.00
_symmetry_space_group_name_H-M 'C 1 2/m 1'
_symmetry_Int_Tables_number 12
_symmetry_space_group_name_Hall '-C 2y'
loop_
_atom_site_label
_atom_site_fract_x
_atom_site_fract_y
_atom_site_fract_z
Ac1 0.018 0.000 0.200
Ac2 0.150 0.332 0.800
Ac3 0.182 0.500 0.200
Ac4 0.250 0.250 0.500
Au1 0.000 0.130 0.500
Au2 0.000 0.250 0.000
Au3 0.130 0.500 0.500
```

No. 6
Compound: CsAc2Lu
Source: the Alexandria database
Functional: PBE-GGA
Structure: relaxed

Output
Energy relative to the elements, eV/atom: 0.262
Calculated total energy, eV per formula unit: -12.542
Volume, Å³/f.u.: 187

The structure in CIF format:
```
data_CsAc2Lu
_cell_length_a 3.9269
_cell_length_b 3.9269
_cell_length_c 42.0404
_cell_angle_alpha 90.00
_cell_angle_beta 90.00
_cell_angle_gamma 120.00
_symmetry_space_group_name_H-M 'R -3 m'
_symmetry_Int_Tables_number 166
_symmetry_space_group_name_Hall '-R 3 2"'
loop_
_atom_site_label
_atom_site_fract_x
_atom_site_fract_y
_atom_site_fract_z
Cs1 0.0000 0.0000 0.0000
Ac1 0.0000 0.0000 0.0982
Lu1 0.0000 0.0000 0.5000
```